A plane-wave DFT calculation with PBE was carried out for MgRu2O6 after structural relaxation.

Geometry as CIF:
```
data_MgRu2O6
_chemical_formula_sum 'Mg3 Ru6 O18'
_symmetry_space_group_name_H-M 'P 3 2 1'
_symmetry_Int_Tables_number 150
_symmetry_space_group_name_Hall 'P 3 2"'
_cell_length_a 8.6572
_cell_length_b 8.6572
_cell_length_c 4.3497
_cell_angle_alpha 90.00
_cell_angle_beta 90.00
_cell_angle_gamma 120.00
loop_
_atom_site_label
_atom_site_fract_x
_atom_site_fract_y
_atom_site_fract_z
_atom_site_occupancy
Mg1 0.0000 0.0000 0.0000 1
Mg2 0.3333 0.6667 0.5013 1
Ru1 0.0000 0.3245 0.5000 1
Ru2 0.0000 0.6582 0.0000 1
O1 0.1030 0.5459 0.7486 1
O2 0.1122 0.8816 0.7562 1
O3 0.2150 0.7791 0.2550 1
```

Properties
ρ = 5690 kg/m³
D(E_F) = 15.130 states/eV per cell
energy relative to the elements, uncorrected = -1265 meV/atom

---

A plane-wave DFT calculation with PBE was carried out for SiSeCl2 after structural relaxation.

Geometry as CIF:
```
data_SiSeCl2
_chemical_formula_sum 'Si2 Se2 Cl4'
_symmetry_space_group_name_H-M 'C 1 2/m 1'
_symmetry_Int_Tables_number 12
_symmetry_space_group_name_Hall '-C 2y'
_cell_length_a 14.772
_cell_length_b 3.109
_cell_length_c 5.001
_cell_angle_alpha 90.00
_cell_angle_beta 109.70
_cell_angle_gamma 90.00
loop_
_atom_site_label
_atom_site_fract_x
_atom_site_fract_y
_atom_site_fract_z
_atom_site_occupancy
Si1 0.000 0.000 0.000 1
Se1 0.000 0.500 0.500 1
Cl1 0.136 0.500 0.135 1
```

Properties
ΔE to the lowest computed polymorph = 367.3 meV/atom
ρ = 2733 kg/m³
D(E_F) = 4.755 states/eV per cell
energy relative to the elements, uncorrected = 60 meV/atom

---

A plane-wave DFT calculation with PBE was carried out for Ba3In2Ag9 after structural relaxation.

Geometry as CIF:
```
data_Ba3In2Ag9
_chemical_formula_sum 'Ba6 In4 Ag18'
_symmetry_space_group_name_H-M 'I m m m'
_symmetry_Int_Tables_number 71
_symmetry_space_group_name_Hall '-I 2 2'
_cell_length_a 4.865
_cell_length_b 10.189
_cell_length_c 14.655
_cell_angle_alpha 90.00
_cell_angle_beta 90.00
_cell_angle_gamma 90.00
loop_
_atom_site_label
_atom_site_fract_x
_atom_site_fract_y
_atom_site_fract_z
_atom_site_occupancy
Ba1 0.000 0.000 0.000 1
Ba2 0.000 0.000 0.296 1
In1 0.000 0.196 0.500 1
Ag1 0.000 0.285 0.132 1
Ag2 0.000 0.357 0.335 1
Ag3 0.000 0.500 0.000 1
```

Properties
ΔH_f (0 K) = -0.20 eV/atom
ρ = 7371 kg/m³
D(E_F) = 15.550 states/eV per cell

---

A plane-wave DFT calculation with PBE was carried out for ZrRuW2Br after structural relaxation.

Geometry as CIF:
```
data_ZrRuW2Br
_chemical_formula_sum 'Zr1 Ru1 W2 Br1'
_symmetry_space_group_name_H-M 'P 4/m m m'
_symmetry_Int_Tables_number 123
_symmetry_space_group_name_Hall '-P 4 2'
_cell_length_a 4.632
_cell_length_b 4.632
_cell_length_c 4.509
_cell_angle_alpha 90.00
_cell_angle_beta 90.00
_cell_angle_gamma 90.00
loop_
_atom_site_label
_atom_site_fract_x
_atom_site_fract_y
_atom_site_fract_z
_atom_site_occupancy
Zr1 0.000 0.000 0.000 1
Ru1 0.500 0.500 0.000 1
W1 0.000 0.500 0.500 1
Br1 0.500 0.500 0.500 1
```

Properties
ρ = 10985 kg/m³
D(E_F) = 5.606 states/eV per cell
energy relative to the elements, uncorrected = 1473 meV/atom

---

A plane-wave DFT calculation with PBE was carried out for Pm2YTm3 after structural relaxation.

Geometry as CIF:
```
data_Pm2YTm3
_chemical_formula_sum 'Pm8 Y4 Tm12'
_symmetry_space_group_name_H-M 'C 1 2/m 1'
_symmetry_Int_Tables_number 12
_symmetry_space_group_name_Hall '-C 2y'
_cell_length_a 23.175
_cell_length_b 3.488
_cell_length_c 10.179
_cell_angle_alpha 90.00
_cell_angle_beta 108.41
_cell_angle_gamma 90.00
loop_
_atom_site_label
_atom_site_fract_x
_atom_site_fract_y
_atom_site_fract_z
_atom_site_occupancy
Pm1 0.068 0.000 0.135 1
Pm2 0.191 0.500 0.372 1
Y1 0.188 0.500 0.037 1
Tm1 0.058 0.500 0.445 1
Tm2 0.070 0.000 0.762 1
Tm3 0.194 0.500 0.714 1
```

Properties
ΔE to the lowest computed polymorph = 5.5 meV/atom
ΔH_f (0 K) = 0.12 eV/atom
ρ = 7537 kg/m³
D(E_F) = 36.934 states/eV per cell

---

A plane-wave DFT calculation with PBE was carried out for Ho3CoBr3 after structural relaxation.

Geometry as CIF:
```
data_Ho3CoBr3
_chemical_formula_sum 'Ho6 Co2 Br6'
_symmetry_space_group_name_H-M 'P 1 21/m 1'
_symmetry_Int_Tables_number 11
_symmetry_space_group_name_Hall '-P 2yb'
_cell_length_a 8.476
_cell_length_b 3.972
_cell_length_c 11.685
_cell_angle_alpha 90.00
_cell_angle_beta 92.19
_cell_angle_gamma 90.00
loop_
_atom_site_label
_atom_site_fract_x
_atom_site_fract_y
_atom_site_fract_z
_atom_site_occupancy
Ho1 0.099 0.250 0.323 1
Ho2 0.139 0.250 0.868 1
Ho3 0.267 0.750 0.102 1
Co1 0.056 0.250 0.095 1
Br1 0.135 0.250 0.603 1
Br2 0.344 0.750 0.358 1
Br3 0.426 0.750 0.869 1
```

Properties
ρ = 6703 kg/m³
D(E_F) = 4.493 states/eV per cell
energy relative to the elements, uncorrected = -1185 meV/atom

---

Look up the ρ of the fourth one. 10985 kg/m³

---

The lowest ρ belongs to which entry? SiSeCl2

---

Among the records above, which one has the highest D(E_F)? Pm2YTm3

---

Please write out number 1 again, unchanged.
A plane-wave DFT calculation with PBE was carried out for MgRu2O6 after structural relaxation.

Geometry as CIF:
```
data_MgRu2O6
_chemical_formula_sum 'Mg3 Ru6 O18'
_symmetry_space_group_name_H-M 'P 3 2 1'
_symmetry_Int_Tables_number 150
_symmetry_space_group_name_Hall 'P 3 2"'
_cell_length_a 8.6572
_cell_length_b 8.6572
_cell_length_c 4.3497
_cell_angle_alpha 90.00
_cell_angle_beta 90.00
_cell_angle_gamma 120.00
loop_
_atom_site_label
_atom_site_fract_x
_atom_site_fract_y
_atom_site_fract_z
_atom_site_occupancy
Mg1 0.0000 0.0000 0.0000 1
Mg2 0.3333 0.6667 0.5013 1
Ru1 0.0000 0.3245 0.5000 1
Ru2 0.0000 0.6582 0.0000 1
O1 0.1030 0.5459 0.7486 1
O2 0.1122 0.8816 0.7562 1
O3 0.2150 0.7791 0.2550 1
```

Properties
ρ = 5690 kg/m³
D(E_F) = 15.130 states/eV per cell
energy relative to the elements, uncorrected = -1265 meV/atom